Entry 1:
# CrMo2W (SCAN, PBEsol geometry)
# Formation energy from the elements   0.07 eV/atom
# Energy relative to the lowest polymorph listed for this composition   2.6 kJ/mol of atoms
# Uncorrected energy   -39.388 eV/atom
# Total magnetic moment   0.000 μB/atom
# Density of states at the Fermi level   4.1 states/eV/cell
data_CrMo2W
_cell_length_a 3.079
_cell_length_b 4.374
_cell_length_c 8.585
_cell_angle_alpha 90.00
_cell_angle_beta 90.00
_cell_angle_gamma 90.00
_symmetry_space_group_name_H-M 'C m m m'
_symmetry_Int_Tables_number 65
_symmetry_space_group_name_Hall '-C 2 2'
loop_
_atom_site_label
_atom_site_fract_x
_atom_site_fract_y
_atom_site_fract_z
_atom_site_occupancy
Cr1 0.000 0.000 0.000 1
Mo1 0.000 0.500 0.237 1
W1 0.000 0.000 0.500 1

=====

Entry 2:
# CrMo2W (SCAN, PBEsol geometry)
# Formation energy from the elements   0.06 eV/atom
# Energy relative to the lowest polymorph listed for this composition   1.1 kJ/mol of atoms
# Uncorrected energy   -39.404 eV/atom
# Total magnetic moment   0.039 μB/atom
# Density of states at the Fermi level   2.1 states/eV/cell
data_CrMo2W
_cell_length_a 3.069
_cell_length_b 3.069
_cell_length_c 6.129
_cell_angle_alpha 90.00
_cell_angle_beta 90.00
_cell_angle_gamma 90.00
_symmetry_space_group_name_H-M 'P 4/m m m'
_symmetry_Int_Tables_number 123
_symmetry_space_group_name_Hall '-P 4 2'
loop_
_atom_site_label
_atom_site_fract_x
_atom_site_fract_y
_atom_site_fract_z
_atom_site_occupancy
Cr1 0.000 0.000 0.000 1
Mo1 0.500 0.500 0.240 1
W1 0.000 0.000 0.500 1

=====

Entry 3:
# CrMo2W (SCAN, PBEsol geometry)
# Formation energy from the elements   0.07 eV/atom
# Energy relative to the lowest polymorph listed for this composition   2.7 kJ/mol of atoms
# Uncorrected energy   -39.387 eV/atom
# Total magnetic moment   0.000 μB/atom
# Density of states at the Fermi level   2.4 states/eV/cell
data_CrMo2W
_cell_length_a 2.674
_cell_length_b 4.320
_cell_length_c 5.088
_cell_angle_alpha 90.00
_cell_angle_beta 99.85
_cell_angle_gamma 90.00
_symmetry_space_group_name_H-M 'P 1 m 1'
_symmetry_Int_Tables_number 6
_symmetry_space_group_name_Hall 'P -2y'
loop_
_atom_site_label
_atom_site_fract_x
_atom_site_fract_y
_atom_site_fract_z
_atom_site_occupancy
Cr1 0.000 0.000 0.000 1
Mo1 0.505 0.000 0.500 1
Mo2 0.752 0.500 0.248 1
W1 0.250 0.500 0.757 1

=====

Entry 4:
# CrMo2W (SCAN, PBEsol geometry)
# Formation energy from the elements   0.05 eV/atom
# Energy relative to the lowest polymorph listed for this composition   0.8 kJ/mol of atoms
# Uncorrected energy   -39.407 eV/atom
# Total magnetic moment   0.053 μB/atom
# Density of states at the Fermi level   6.3 states/eV/cell
data_CrMo2W
_cell_length_a 6.139
_cell_length_b 6.139
_cell_length_c 6.139
_cell_angle_alpha 90.00
_cell_angle_beta 90.00
_cell_angle_gamma 90.00
_symmetry_space_group_name_H-M 'F m -3 m'
_symmetry_Int_Tables_number 225
_symmetry_space_group_name_Hall '-F 4 2 3'
loop_
_atom_site_label
_atom_site_fract_x
_atom_site_fract_y
_atom_site_fract_z
_atom_site_occupancy
Cr1 0.000 0.000 0.000 1
Mo1 0.250 0.250 0.250 1
W1 0.000 0.000 0.500 1

=====

Entry 5:
# CrMo2W (SCAN, PBEsol geometry)
# Formation energy from the elements   0.07 eV/atom
# Energy relative to the lowest polymorph listed for this composition   2.2 kJ/mol of atoms
# Uncorrected energy   -39.392 eV/atom
# Total magnetic moment   0.000 μB/atom
# Density of states at the Fermi level   4.3 states/eV/cell
data_CrMo2W
_cell_length_a 3.076
_cell_length_b 4.377
_cell_length_c 8.584
_cell_angle_alpha 90.00
_cell_angle_beta 90.00
_cell_angle_gamma 90.00
_symmetry_space_group_name_H-M 'C m m 2'
_symmetry_Int_Tables_number 35
_symmetry_space_group_name_Hall 'C 2 -2'
loop_
_atom_site_label
_atom_site_fract_x
_atom_site_fract_y
_atom_site_fract_z
_atom_site_occupancy
Cr1 0.000 0.000 0.000 1
Mo1 0.000 0.000 0.498 1
Mo2 0.000 0.500 0.237 1
W1 0.000 0.500 0.761 1

=====

Entry 6:
# CrMoW2 (SCAN, PBEsol geometry)
# Formation energy from the elements   0.05 eV/atom
# Energy relative to the lowest polymorph listed for this composition   1.6 kJ/mol of atoms
# Uncorrected energy   -48.110 eV/atom
# Total magnetic moment   0.044 μB/atom
# Density of states at the Fermi level   5.7 states/eV/cell
data_CrMoW2
_cell_length_a 6.152
_cell_length_b 6.152
_cell_length_c 6.152
_cell_angle_alpha 90.00
_cell_angle_beta 90.00
_cell_angle_gamma 90.00
_symmetry_space_group_name_H-M 'F -4 3 m'
_symmetry_Int_Tables_number 216
_symmetry_space_group_name_Hall 'F -4 2 3'
loop_
_atom_site_label
_atom_site_fract_x
_atom_site_fract_y
_atom_site_fract_z
_atom_site_occupancy
Cr1 0.000 0.000 0.000 1
Mo1 0.250 0.250 0.750 1
W1 0.000 0.000 0.500 1
W2 0.250 0.250 0.250 1

=====

Entry 7:
# CrMoW2 (SCAN, PBEsol geometry)
# Formation energy from the elements   0.07 eV/atom
# Energy relative to the lowest polymorph listed for this composition   3.7 kJ/mol of atoms
# Uncorrected energy   -48.089 eV/atom
# Total magnetic moment   0.001 μB/atom
# Density of states at the Fermi level   2.3 states/eV/cell
data_CrMoW2
_cell_length_a 2.682
_cell_length_b 4.342
_cell_length_c 5.093
_cell_angle_alpha 90.00
_cell_angle_beta 100.06
_cell_angle_gamma 90.00
_symmetry_space_group_name_H-M 'P 1 m 1'
_symmetry_Int_Tables_number 6
_symmetry_space_group_name_Hall 'P -2y'
loop_
_atom_site_label
_atom_site_fract_x
_atom_site_fract_y
_atom_site_fract_z
_atom_site_occupancy
Cr1 0.000 0.000 0.000 1
Mo1 0.753 0.500 0.247 1
W1 0.247 0.500 0.758 1
W2 0.504 0.000 0.500 1

=====

Entry 8:
# CrMoW2 (SCAN, PBEsol geometry)
# Formation energy from the elements   0.05 eV/atom
# Energy relative to the lowest polymorph listed for this composition   1.6 kJ/mol of atoms
# Uncorrected energy   -48.110 eV/atom
# Total magnetic moment   0.000 μB/atom
# Density of states at the Fermi level   2.3 states/eV/cell
data_CrMoW2
_cell_length_a 3.076
_cell_length_b 3.076
_cell_length_c 6.147
_cell_angle_alpha 90.00
_cell_angle_beta 90.00
_cell_angle_gamma 90.00
_symmetry_space_group_name_H-M 'P 4 m m'
_symmetry_Int_Tables_number 99
_symmetry_space_group_name_Hall 'P 4 -2'
loop_
_atom_site_label
_atom_site_fract_x
_atom_site_fract_y
_atom_site_fract_z
_atom_site_occupancy
Cr1 0.000 0.000 0.000 1
Mo1 0.500 0.500 0.240 1
W1 0.000 0.000 0.498 1
W2 0.500 0.500 0.760 1

=====

Entry 9:
# CrMoW (SCAN, PBEsol geometry)
# Formation energy from the elements   0.09 eV/atom
# Energy relative to the lowest polymorph listed for this composition   2.3 kJ/mol of atoms
# Uncorrected energy   -40.901 eV/atom
# Total magnetic moment   0.000 μB/atom
# Density of states at the Fermi level   1.6 states/eV/cell
data_CrMoW
_cell_length_a 4.2925
_cell_length_b 4.2925
_cell_length_c 2.6675
_cell_angle_alpha 90.00
_cell_angle_beta 90.00
_cell_angle_gamma 120.00
_symmetry_space_group_name_H-M 'P 3 m 1'
_symmetry_Int_Tables_number 156
_symmetry_space_group_name_Hall 'P 3 -2"'
loop_
_atom_site_label
_atom_site_fract_x
_atom_site_fract_y
_atom_site_fract_z
_atom_site_occupancy
Cr1 0.0000 0.0000 0.0000 1
Mo1 0.6667 0.3333 0.6755 1
W1 0.3333 0.6667 0.3304 1

=====

Entry 10:
# CrMoW2 (SCAN, PBEsol geometry)
# Formation energy from the elements   0.05 eV/atom
# Energy relative to the lowest polymorph listed for this composition   1.9 kJ/mol of atoms
# Uncorrected energy   -48.108 eV/atom
# Total magnetic moment   0.000 μB/atom
# Density of states at the Fermi level   3.9 states/eV/cell
data_CrMoW2
_cell_length_a 9.197
_cell_length_b 4.357
_cell_length_c 3.080
_cell_angle_alpha 90.00
_cell_angle_beta 109.48
_cell_angle_gamma 90.00
_symmetry_space_group_name_H-M 'C 1 m 1'
_symmetry_Int_Tables_number 8
_symmetry_space_group_name_Hall 'C -2y'
loop_
_atom_site_label
_atom_site_fract_x
_atom_site_fract_y
_atom_site_fract_z
_atom_site_occupancy
Cr1 0.000 0.000 0.000 1
Mo1 0.253 0.500 0.253 1
W1 0.001 0.500 0.501 1
W2 0.246 0.000 0.746 1

=====

Entry 11:
# CrMoW2 (SCAN, PBEsol geometry)
# Formation energy from the elements   0.03 eV/atom
# Energy relative to the lowest polymorph listed for this composition   0.0 kJ/mol of atoms
# Uncorrected energy   -48.127 eV/atom
# Total magnetic moment   0.000 μB/atom
# Density of states at the Fermi level   2.3 states/eV/cell
data_CrMoW2
_cell_length_a 3.073
_cell_length_b 3.073
_cell_length_c 6.144
_cell_angle_alpha 90.00
_cell_angle_beta 90.00
_cell_angle_gamma 90.00
_symmetry_space_group_name_H-M 'P 4/m m m'
_symmetry_Int_Tables_number 123
_symmetry_space_group_name_Hall '-P 4 2'
loop_
_atom_site_label
_atom_site_fract_x
_atom_site_fract_y
_atom_site_fract_z
_atom_site_occupancy
Cr1 0.000 0.000 0.000 1
Mo1 0.000 0.000 0.500 1
W1 0.500 0.500 0.241 1

=====

Entry 12:
# CrMoW2 (SCAN, PBEsol geometry)
# Formation energy from the elements   0.06 eV/atom
# Energy relative to the lowest polymorph listed for this composition   2.7 kJ/mol of atoms
# Uncorrected energy   -48.099 eV/atom
# Total magnetic moment   0.000 μB/atom
# Density of states at the Fermi level   3.7 states/eV/cell
data_CrMoW2
_cell_length_a 3.084
_cell_length_b 4.392
_cell_length_c 8.600
_cell_angle_alpha 90.00
_cell_angle_beta 90.00
_cell_angle_gamma 90.00
_symmetry_space_group_name_H-M 'C m m m'
_symmetry_Int_Tables_number 65
_symmetry_space_group_name_Hall '-C 2 2'
loop_
_atom_site_label
_atom_site_fract_x
_atom_site_fract_y
_atom_site_fract_z
_atom_site_occupancy
Cr1 0.000 0.000 0.000 1
Mo1 0.000 0.000 0.500 1
W1 0.000 0.500 0.238 1

=====

Entry 13:
# CrMoW2 (SCAN, PBEsol geometry)
# Formation energy from the elements   0.07 eV/atom
# Energy relative to the lowest polymorph listed for this composition   3.6 kJ/mol of atoms
# Uncorrected energy   -48.090 eV/atom
# Total magnetic moment   0.000 μB/atom
# Density of states at the Fermi level   4.0 states/eV/cell
data_CrMoW2
_cell_length_a 3.086
_cell_length_b 4.388
_cell_length_c 8.603
_cell_angle_alpha 90.00
_cell_angle_beta 90.00
_cell_angle_gamma 90.00
_symmetry_space_group_name_H-M 'C m m 2'
_symmetry_Int_Tables_number 35
_symmetry_space_group_name_Hall 'C 2 -2'
loop_
_atom_site_label
_atom_site_fract_x
_atom_site_fract_y
_atom_site_fract_z
_atom_site_occupancy
Cr1 0.000 0.000 0.000 1
Mo1 0.000 0.500 0.764 1
W1 0.000 0.000 0.502 1
W2 0.000 0.500 0.238 1

=====

Entry 14:
# Cr4MoW (SCAN, PBEsol geometry)
# Formation energy from the elements   0.13 eV/atom
# Uncorrected energy   -29.555 eV/atom
# Total magnetic moment   0.000 μB/atom
# Density of states at the Fermi level   34.4 states/eV/cell
data_Cr4MoW
_cell_length_a 6.726
_cell_length_b 6.726
_cell_length_c 6.726
_cell_angle_alpha 90.00
_cell_angle_beta 90.00
_cell_angle_gamma 90.00
_symmetry_space_group_name_H-M 'F -4 3 m'
_symmetry_Int_Tables_number 216
_symmetry_space_group_name_Hall 'F -4 2 3'
loop_
_atom_site_label
_atom_site_fract_x
_atom_site_fract_y
_atom_site_fract_z
_atom_site_occupancy
Cr1 0.125 0.125 0.125 1
Mo1 0.250 0.250 0.750 1
W1 0.000 0.000 0.500 1

=====

Entry 15:
# CrMo2W (SCAN, PBEsol geometry)
# Formation energy from the elements   0.05 eV/atom
# Energy relative to the lowest polymorph listed for this composition   0.8 kJ/mol of atoms
# Uncorrected energy   -39.407 eV/atom
# Total magnetic moment   0.045 μB/atom
# Density of states at the Fermi level   1.7 states/eV/cell
data_CrMo2W
_cell_length_a 3.073
_cell_length_b 4.320
_cell_length_c 4.349
_cell_angle_alpha 90.00
_cell_angle_beta 90.00
_cell_angle_gamma 90.00
_symmetry_space_group_name_H-M 'P m m m'
_symmetry_Int_Tables_number 47
_symmetry_space_group_name_Hall '-P 2 2'
loop_
_atom_site_label
_atom_site_fract_x
_atom_site_fract_y
_atom_site_fract_z
_atom_site_occupancy
Cr1 0.000 0.000 0.000 1
Mo1 0.000 0.500 0.500 1
Mo2 0.500 0.000 0.500 1
W1 0.500 0.500 0.000 1

=====

Entry 16:
# CrMoW (SCAN, PBEsol geometry)
# Formation energy from the elements   0.08 eV/atom
# Energy relative to the lowest polymorph listed for this composition   2.1 kJ/mol of atoms
# Uncorrected energy   -40.902 eV/atom
# Total magnetic moment   0.000 μB/atom
# Density of states at the Fermi level   6.0 states/eV/cell
data_CrMoW
_cell_length_a 3.061
_cell_length_b 4.354
_cell_length_c 12.761
_cell_angle_alpha 90.00
_cell_angle_beta 90.00
_cell_angle_gamma 90.00
_symmetry_space_group_name_H-M 'F m m 2'
_symmetry_Int_Tables_number 42
_symmetry_space_group_name_Hall 'F 2 -2'
loop_
_atom_site_label
_atom_site_fract_x
_atom_site_fract_y
_atom_site_fract_z
_atom_site_occupancy
Cr1 0.000 0.000 0.000 1
Mo1 0.000 0.000 0.660 1
W1 0.000 0.000 0.338 1